# NaNdTm

An optimized crystal structure of NaNdTm (GGA-PBE, the Alexandria database).

Cell: 3.533 3.533 16.271 Å, 90.00 90.00 90.00°
Space group I4mm (No. 107)
Inequivalent atoms, fractional coordinates:
Na (0.000, 0.000, 0.000) [2 per cell]
Nd (0.000, 0.000, 0.679) [2 per cell]
Tm (0.000, 0.000, 0.328) [2 per cell]

Computed properties:
energy relative to the lowest polymorph listed for this composition = 22.3 meV/atom
energy relative to the elements = 3.6 kcal/mol of atoms
magnetic moment = 0.00 μB/f.u.
DFT total energy = -20.18 eV for the cell shown